Below is crystalline PmSc5Hg6 at its relaxed geometry, with properties calculated at the PBE level.

```
PmSc5Hg6
1.0
4.906 0.002 -1.021
-0.003 7.233 -0.001
-0.900 0.000 7.919
Sc Hg Pm
5 6 1
Cartesian
2.952 3.618 1.899
1.025 0.001 4.877
-0.002 3.617 0.000
2.981 0.002 2.021
1.051 3.618 4.999
3.472 5.335 4.339
3.474 1.902 4.340
2.452 1.914 -0.510
2.451 5.321 -0.511
0.529 5.333 2.558
0.530 1.901 2.558
0.000 0.000 0.000
```

Computed properties:
Density of states at the Fermi level = 12.4 states/eV/cell
V = 274 Å³/f.u.
Size of the total moment = 0.653 μB per formula unit
VASP energy = -3.606 eV/atom
ΔH_f (0 K) = -0.42 eV/atom